Record 1
## Tb4GaNi (PBE)

Data for an optimized crystal structure of Tb4GaNi.

Calculated values
distance to the lowest polymorph of the same formula	10.3	kJ per mole of atoms
DOS at the Fermi energy	1.193	states/eV per atom
total magnetic moment	0.00	μB per formula unit

abc: 5.0588 6.3861 10.3995
angles: 90.00 104.08 90.00
Closest atoms and distances in Å follow each position.
Fractional coordinates of all 12 atoms:
Ga1 0.1562 0.3224 0.3125  10 Tb 3.08-3.41
Ga2 0.8438 0.8224 0.6875  10 Tb 3.08-3.41
Ni1 0.5823 0.8218 0.1646  5 Tb 2.55-2.79
Ni2 0.4177 0.3218 0.8354  5 Tb 2.55-2.79
Tb1 0.0979 0.8212 0.1957  2 Ni 2.55
Tb2 0.3054 0.5745 0.6107  1 Ni 2.78, 2 Ga 3.08
Tb3 0.5502 0.3235 0.1003  1 Ni 2.67
Tb4 0.6946 0.0745 0.3893  1 Ni 2.78, 2 Ga 3.08
Tb5 0.9021 0.3212 0.8043  2 Ni 2.55
Tb6 0.3045 0.0699 0.6090  1 Ni 2.79, 2 Ga 3.09
Tb7 0.6955 0.5699 0.3910  1 Ni 2.79, 2 Ga 3.09
Tb8 0.4498 0.8235 0.8997  1 Ni 2.67

=====

Record 2
## SrRh3 (PBE)

Data for an optimized crystal structure of SrRh3.

Calculated values
DOS at the Fermi energy	1.800	states/eV per atom
total magnetic moment	0.00	μB per formula unit
DFT total energy	-5.7517	eV per atom

abc: 2.9187 3.7747 6.7132
angles: 90.00 90.00 90.00
Closest atoms and distances in Å follow each position.
Fractional coordinates of all 4 atoms:
Sr1 0.0000 0.0000 0.0000  2 Sr 2.92, 8 Rh 3.15
Rh1 0.5000 0.5000 0.6927  5 Rh 2.59-2.71
Rh2 0.0000 0.0000 0.5000  10 Rh 2.71-2.92
Rh3 0.5000 0.5000 0.3073  5 Rh 2.59-2.71

=====

Record 3
## Sb2TeMoAu (PBE)

Data for an optimized crystal structure of Sb2TeMoAu.

Calculated values
distance to the lowest polymorph of the same formula	59.7	kJ per mole of atoms
DOS at the Fermi energy	0.881	states/eV per atom
formation energy from raw total energies	6.0	eV per formula unit
total magnetic moment	3.43	μB per formula unit

abc: 5.3170 5.3170 5.4805
angles: 90.00 90.00 90.00
Closest atoms and distances in Å follow each position.
Fractional coordinates of all 5 atoms:
Te1 0.0000 0.0000 0.5000  2 Au 2.74
Sb1 0.0000 0.5000 0.0000  2 Au 2.66
Sb2 0.5000 0.0000 0.0000  2 Au 2.66
Au1 0.0000 0.0000 0.0000  4 Sb 2.66, 2 Te 2.74
Mo1 0.5000 0.5000 0.5000  4 Te 3.76, 8 Sb 3.82